Record 1
A relaxed structure of PmDyLuSc, computed with GGA-PBE.

Properties
Crystal system = cubic
VASP energy = -4.957 eV per atom
Energy relative to the elements = 0.095 eV per atom

The structure in CIF format:
```
data_PmDyLuSc
_cell_length_a 7.825
_cell_length_b 7.825
_cell_length_c 7.825
_cell_angle_alpha 90.00
_cell_angle_beta 90.00
_cell_angle_gamma 90.00
_space_group_name_H-M_alt 'F -4 3 m'
_space_group_IT_number 216
_space_group_name_Hall 'F -4 2 3'
loop_
_atom_site_label
_atom_site_type_symbol
_atom_site_fract_x
_atom_site_fract_y
_atom_site_fract_z
Pm1 Pm 0.000 0.000 0.000
Dy1 Dy 0.000 0.000 0.500
Lu1 Lu 0.250 0.250 0.750
Sc1 Sc 0.250 0.250 0.250
```



Record 2
A relaxed structure of TbPmDyLu, computed with GGA-PBE.

Properties
Crystal system = cubic
VASP energy = -4.506 eV per atom
Energy relative to the elements = 0.120 eV per atom

The structure in CIF format:
```
data_TbPmDyLu
_cell_length_a 8.009
_cell_length_b 8.009
_cell_length_c 8.009
_cell_angle_alpha 90.00
_cell_angle_beta 90.00
_cell_angle_gamma 90.00
_space_group_name_H-M_alt 'F -4 3 m'
_space_group_IT_number 216
_space_group_name_Hall 'F -4 2 3'
loop_
_atom_site_label
_atom_site_type_symbol
_atom_site_fract_x
_atom_site_fract_y
_atom_site_fract_z
Tb1 Tb 0.000 0.000 0.000
Pm1 Pm 0.000 0.000 0.500
Dy1 Dy 0.250 0.250 0.750
Lu1 Lu 0.250 0.250 0.250
```



Record 3
A relaxed structure of PmDyLuTh, computed with GGA-PBE.

Properties
Crystal system = cubic
VASP energy = -5.126 eV per atom
Energy relative to the elements = 0.197 eV per atom

The structure in CIF format:
```
data_PmDyLuTh
_cell_length_a 8.016
_cell_length_b 8.016
_cell_length_c 8.016
_cell_angle_alpha 90.00
_cell_angle_beta 90.00
_cell_angle_gamma 90.00
_space_group_name_H-M_alt 'F -4 3 m'
_space_group_IT_number 216
_space_group_name_Hall 'F -4 2 3'
loop_
_atom_site_label
_atom_site_type_symbol
_atom_site_fract_x
_atom_site_fract_y
_atom_site_fract_z
Pm1 Pm 0.000 0.000 0.000
Dy1 Dy 0.000 0.000 0.500
Lu1 Lu 0.250 0.250 0.250
Th1 Th 0.250 0.250 0.750
```